(1)
AlFeNi2H after structural relaxation, computed with PBE.

a b c (Å): 3.590 3.590 3.740
angles (deg): 90.00 90.00 90.00
Site moments in Bohr magnetons follow the coordinates.
Element x y z (fractional)
Ni 0.500 0.000 0.000  0.17
Al 0.500 0.500 0.500  -0.04
Fe 0.000 0.000 0.500  1.91
H 0.000 0.000 0.000  -0.01
Ni 0.000 0.500 0.000  0.17

Results
* N(E_F): 0.6685 states/eV/atom
* volume: 48 Å³/f.u.
* electronic total energy: -28.5 eV for the cell shown



(2)
AlFe2NiH after structural relaxation, computed with PBE.

a b c (Å): 3.570 3.570 3.853
angles (deg): 90.00 90.00 90.00
Site moments in Bohr magnetons follow the coordinates.
Element x y z (fractional)
Fe 0.000 0.500 0.000  2.10
Fe 0.500 0.000 0.000  2.10
H 0.000 0.000 0.000  -0.02
Al 0.500 0.500 0.500  -0.05
Ni 0.000 0.000 0.500  0.12

Results
* N(E_F): 0.3899 states/eV/atom
* volume: 49 Å³/f.u.
* electronic total energy: -31.0 eV for the cell shown